# 1
DFT (PBE-GGA) results for a relaxed structure of Na3Th3MgTe8.

Summary:
E_form (uncorrected) in eV/atom: -1.070
Total energy in eV per cell: -69.00

Lattice parameters (Å, degrees): 8.8805 8.8810 9.2318 118.77 90.00 120.00
With the nearest neighbours (Å) after each atom.
Sites, in units of the cell vectors:
1 Mg 0.0000 0.0000 0.5000  6 Te 3.06
2 Te 0.7606 0.5213 0.2703  1 Mg 3.06, 2 Th 3.14, 2 Na 3.28
3 Te 0.2487 0.0095 0.2702  1 Mg 3.06, 2 Th 3.14, 2 Na 3.27
4 Te 0.2392 0.9905 0.7298  1 Mg 3.06, 2 Th 3.14, 2 Na 3.27
5 Te 0.7487 0.4974 0.7459  3 Th 3.18, 3 Na 3.22
6 Te 0.7513 0.9905 0.7298  1 Mg 3.06, 2 Th 3.14, 2 Na 3.27
7 Te 0.2513 0.5026 0.2541  3 Th 3.18, 3 Na 3.22
8 Te 0.7608 0.0095 0.2702  1 Mg 3.06, 2 Th 3.14, 2 Na 3.27
9 Te 0.2394 0.4787 0.7297  1 Mg 3.06, 2 Th 3.14, 2 Na 3.28
10 Th 0.5000 0.5000 0.5000  6 Te 3.14-3.18
11 Th 0.5000 0.0000 0.5000  6 Te 3.14-3.18
12 Th 0.0000 0.5000 0.5000  6 Te 3.14-3.18
13 Na 0.5000 0.5000 0.0000  6 Te 3.22-3.28
14 Na 0.0000 0.0000 0.0000  6 Te 3.22-3.27
15 Na 0.0000 0.5000 0.0000  6 Te 3.22-3.28

***

# 2
DFT (PBE-GGA) results for a relaxed structure of CeY4Er5.

Summary:
Energy of formation from the pure elements in kcal/mol of atoms: 6.0
Total energy in eV per cell: -52.02
Energy above the most stable polymorph in this dataset in eV/atom: 0.000

Lattice parameters (Å, degrees): 5.8368 7.9662 7.9662 82.29 68.51 68.51
With the nearest neighbours (Å) after each atom.
Sites, in units of the cell vectors:
1 Ce 0.2002 0.0000 0.0000  1 Er 2.74
2 Er 0.7691 0.3722 0.0000  1 Ce 3.11, 3 Er 3.22-3.48, 2 Y 3.29
3 Er 0.7690 0.0000 0.3722  1 Ce 3.11, 3 Er 3.22-3.48, 2 Y 3.29
4 Er 0.1412 0.0000 0.6278  1 Ce 3.11, 3 Er 3.22-3.48, 2 Y 3.29
5 Er 0.6698 0.0000 0.0000  1 Ce 2.74
6 Er 0.1412 0.6278 0.0000  1 Ce 3.11, 3 Er 3.22-3.48, 2 Y 3.29
7 Y 0.7785 0.6764 0.6764  3 Er 3.29-3.62
8 Y 0.4549 0.6764 0.3236  3 Er 3.29-3.62
9 Y 0.4549 0.3236 0.6764  3 Er 3.29-3.62
10 Y 0.1313 0.3236 0.3236  3 Er 3.29-3.62

***

# 3
DFT (PBE-GGA) results for a relaxed structure of CeYZnSn.

Summary:
Energy of formation from the pure elements in kcal/mol of atoms: -10.5
Total energy in eV per cell: -19.50

Lattice parameters (Å, degrees): 5.2598 5.2598 5.2598 60.00 60.00 60.00
With the nearest neighbours (Å) after each atom.
Sites, in units of the cell vectors:
1 Y 0.7500 0.7500 0.7500  4 Sn 3.22, 4 Zn 3.22
2 Sn 0.0000 0.0000 0.0000  4 Y 3.22, 4 Ce 3.22
3 Ce 0.2500 0.2500 0.2500  4 Sn 3.22, 4 Zn 3.22
4 Zn 0.5000 0.5000 0.5000  4 Ce 3.22, 4 Y 3.22

***

# 4
DFT (PBE-GGA) results for a relaxed structure of BaSr5Ag6.

Summary:
Energy of formation from the pure elements in kcal/mol of atoms: -6.0
Total energy in eV per cell: -30.54

Lattice parameters (Å, degrees): 5.6033 7.9718 8.8283 90.00 71.50 90.00
With the nearest neighbours (Å) after each atom.
Sites, in units of the cell vectors:
1 Sr 0.6674 0.0000 0.6652  8 Ag 3.39-3.50
2 Sr 0.3334 0.5000 0.3332  8 Ag 3.36-3.42
3 Sr 0.0000 0.5000 0.0000  8 Ag 3.38-3.46
4 Sr 0.6666 0.5000 0.6668  8 Ag 3.36-3.42
5 Sr 0.3326 0.0000 0.3348  8 Ag 3.39-3.50
6 Ag 0.8296 0.2550 0.3408  7 Sr 3.36-3.46, 1 Ba 3.50
7 Ag 0.8296 0.7450 0.3408  7 Sr 3.36-3.46, 1 Ba 3.50
8 Ag 0.1704 0.7450 0.6592  7 Sr 3.36-3.46, 1 Ba 3.50
9 Ag 0.5000 0.2625 0.0000  6 Sr 3.37-3.50, 2 Ba 3.50
10 Ag 0.1704 0.2550 0.6592  7 Sr 3.36-3.46, 1 Ba 3.50
11 Ag 0.5000 0.7375 0.0000  6 Sr 3.37-3.50, 2 Ba 3.50
12 Ba 0.0000 0.0000 0.0000  8 Ag 3.50

***

# 5
DFT (PBE-GGA) results for a relaxed structure of SbW2Au.

Summary:
E_form (uncorrected) in eV/atom: 0.751
Total energy in eV per cell: -30.30

Lattice parameters (Å, degrees): 5.1072 5.1072 2.9428 90.00 90.00 112.64
With the nearest neighbours (Å) after each atom.
Sites, in units of the cell vectors:
1 Sb 0.0000 0.5000 0.5000  2 Au 2.83, 2 Sb 2.94, 8 W 2.95
2 Au 0.5000 0.0000 0.5000  2 Sb 2.83, 2 Au 2.94, 8 W 2.95
3 W 0.5000 0.5000 0.0000  4 W 2.83-2.94, 4 Sb 2.95, 4 Au 2.95
4 W 0.0000 0.0000 0.0000  4 W 2.83-2.94, 4 Au 2.95, 4 Sb 2.95

***

# 6
DFT (PBE-GGA) results for a relaxed structure of TiIrW2.

Summary:
Energy of formation from the pure elements in kcal/mol of atoms: 11.1
Total energy in eV per cell: -81.46
Energy above the most stable polymorph in this dataset in eV/atom: 0.460

Lattice parameters (Å, degrees): 7.3283 7.3283 5.7916 50.75 50.75 90.00
With the nearest neighbours (Å) after each atom.
Sites, in units of the cell vectors:
1 W 0.6477 0.1250 0.2500  2 Ir 2.56, 2 W 2.61, 2 Ti 2.79
2 W 0.8750 0.8977 0.7500  2 Ir 2.56, 2 W 2.61, 2 Ti 2.79
3 W 0.1023 0.6250 0.2500  2 Ir 2.56, 2 W 2.61, 2 Ti 2.79
4 W 0.3750 0.3523 0.7500  2 Ir 2.56, 2 W 2.61, 2 Ti 2.79
5 Ir 0.7500 0.2500 0.5000  4 W 2.56, 2 Ti 2.59
6 Ir 0.0000 0.0000 0.0000  4 W 2.56, 2 Ti 2.59
7 Ti 0.5000 0.5000 0.0000  2 Ir 2.59, 4 W 2.79
8 Ti 0.2500 0.7500 0.5000  2 Ir 2.59, 4 W 2.79

***

# 7
DFT (PBE-GGA) results for a relaxed structure of Al4Ni15As.

Summary:
Energy of formation from the pure elements in kcal/mol of atoms: -8.9
Total energy in eV per cell: -114.04

Lattice parameters (Å, degrees): 3.5591 3.5591 17.8388 90.00 90.00 90.00
With the nearest neighbours (Å) after each atom.
Sites, in units of the cell vectors:
1 Ni 0.5000 0.0000 0.5000  8 Ni 2.51-2.52, 4 Al 2.51
2 Ni 0.0000 0.5000 0.8991  8 Ni 2.51-2.53, 2 As 2.53, 2 Al 2.54
3 Ni 0.5000 0.5000 0.0000  4 As 2.52, 8 Ni 2.53
4 Ni 0.5000 0.0000 0.6988  4 Al 2.50-2.51, 8 Ni 2.51-2.53
5 Ni 0.0000 0.5000 0.5000  8 Ni 2.51-2.52, 4 Al 2.51
6 Ni 0.0000 0.5000 0.3012  4 Al 2.50-2.51, 8 Ni 2.51-2.53
7 Ni 0.0000 0.5000 0.6988  4 Al 2.50-2.51, 8 Ni 2.51-2.53
8 Ni 0.5000 0.5000 0.7998  8 Ni 2.51-2.53, 4 Al 2.52
9 Ni 0.5000 0.5000 0.2002  8 Ni 2.51-2.53, 4 Al 2.52
10 Ni 0.0000 0.5000 0.1009  8 Ni 2.51-2.53, 2 As 2.53, 2 Al 2.54
11 Ni 0.5000 0.5000 0.5993  8 Ni 2.51, 4 Al 2.52
12 Ni 0.5000 0.0000 0.1009  8 Ni 2.51-2.53, 2 As 2.53, 2 Al 2.54
13 Ni 0.5000 0.0000 0.3012  4 Al 2.50-2.51, 8 Ni 2.51-2.53
14 Ni 0.5000 0.5000 0.4007  8 Ni 2.51, 4 Al 2.52
15 Ni 0.5000 0.0000 0.8991  8 Ni 2.51-2.53, 2 As 2.53, 2 Al 2.54
16 Al 0.0000 0.0000 0.5995  12 Ni 2.51-2.52
17 Al 0.0000 0.0000 0.4005  12 Ni 2.51-2.52
18 Al 0.0000 0.0000 0.2027  12 Ni 2.50-2.54
19 Al 0.0000 0.0000 0.7973  12 Ni 2.50-2.54
20 As 0.0000 0.0000 0.0000  12 Ni 2.52-2.53

***

# 8
DFT (PBE-GGA) results for a relaxed structure of LiNi2OsBr.

Summary:
E_form (uncorrected) in eV/atom: 1.261
Total energy in eV per cell: -20.08

Lattice parameters (Å, degrees): 4.3090 4.5707 4.3090 90.00 90.00 90.00
With the nearest neighbours (Å) after each atom.
Sites, in units of the cell vectors:
1 Li 0.5000 0.5000 0.5000  4 Os 3.05, 8 Ni 3.14
2 Br 0.0000 0.0000 0.0000  4 Ni 2.15, 2 Os 2.29
3 Ni 0.0000 0.0000 0.5000  2 Br 2.15
4 Ni 0.5000 0.0000 0.0000  2 Br 2.15
5 Os 0.0000 0.5000 0.0000  2 Br 2.29